No. 1
VASP calculation (PBE-GGA) on a relaxed SbRuAu2 crystal.

Calculated values
The calculation puts the raw formation energy at 0.241 eV/atom. The total DFT energy (no corrections) comes out at -18.99 eV per cell.

abc: 3.9868 3.9868 4.5469
angles: 90.00 90.00 90.00
Space group P4/mmm (No. 123)
Inequivalent atoms, fractional coordinates:
Sb: 0.0000 0.0000 0.0000 x1
Ru: 0.5000 0.5000 0.0000 x1
Au: 0.0000 0.5000 0.5000 x2


No. 2
VASP calculation (PBE-GGA) on a relaxed RbMgIn crystal.

Calculated values
The calculation puts the calculated formation energy at 112 meV/atom. Its polymorph energy (0 for the lowest one) is 0.151 eV/atom. The total DFT energy (no corrections) comes out at -4.96 eV per cell.

abc: 5.6799 5.6799 3.7064
angles: 90.00 90.00 120.00
Space group P-6m2 (No. 187)
Inequivalent atoms, fractional coordinates:
Rb: 0.0000 0.0000 0.0000 x1
Mg: 0.3333 0.6667 0.5000 x1
In: 0.6667 0.3333 0.5000 x1


No. 3
VASP calculation (PBE-GGA) on a relaxed Th3ScIr8 crystal.

Calculated values
The calculation puts the calculated formation energy at -792 meV/atom. The total DFT energy (no corrections) comes out at -326.95 eV per cell.

abc: 5.4074 5.4074 26.5343
angles: 90.00 90.00 120.00
Space group R3m (No. 160, hexagonal axes)
Inequivalent atoms, fractional coordinates:
Th: 0.0000 0.0000 0.0000 x3
Th: 0.0000 0.0000 0.1266 x3
Th: 0.0000 0.0000 0.6193 x3
Sc: 0.0000 0.0000 0.4948 x3
Ir: 0.0000 0.0000 0.3112 x3
Ir: 0.0000 0.0000 0.8115 x3
Ir: 0.0007 0.5004 0.5598 x9
Ir: 0.0013 0.5006 0.0623 x9


No. 4
VASP calculation (PBE-GGA) on a relaxed EuErAl crystal.

Calculated values
The calculation puts the calculated formation energy at -64 meV/atom. Its polymorph energy (0 for the lowest one) is 0.099 eV/atom. The total DFT energy (no corrections) comes out at -18.77 eV per cell.

abc: 5.2134 5.2134 3.4872
angles: 90.00 90.00 120.00
Space group P3m1 (No. 156)
Inequivalent atoms, fractional coordinates:
Eu: 0.0000 0.0000 0.0000 x1
Er: 0.6667 0.3333 0.5883 x1
Al: 0.3333 0.6667 0.3496 x1


No. 5
VASP calculation (PBE-GGA) on a relaxed Sc2SiS crystal.

Calculated values
The calculation puts the raw formation energy at -0.767 eV/atom. Its polymorph energy (0 for the lowest one) is 0.599 eV/atom. The total DFT energy (no corrections) comes out at -101.13 eV per cell.

abc: 6.6395 6.6395 6.6395
angles: 90.00 90.00 90.00
Space group Fm-3m (No. 225)
Inequivalent atoms, fractional coordinates:
Sc: 0.2500 0.2500 0.2500 x8
Si: 0.0000 0.0000 0.0000 x4
S: 0.0000 0.0000 0.5000 x4


No. 6
VASP calculation (PBE-GGA) on a relaxed CePmMgOs crystal.

Calculated values
The calculation puts the calculated formation energy at -2 meV/atom. The total DFT energy (no corrections) comes out at -94.07 eV per cell.

abc: 7.2011 7.2011 7.2011
angles: 90.00 90.00 90.00
Space group F-43m (No. 216)
Inequivalent atoms, fractional coordinates:
Ce: 0.0000 0.0000 0.0000 x4
Pm: 0.0000 0.0000 0.5000 x4
Mg: 0.2500 0.2500 0.2500 x4
Os: 0.2500 0.2500 0.7500 x4


No. 7
VASP calculation (PBE-GGA) on a relaxed KPb crystal.

Calculated values
The calculation puts the calculated formation energy at -74 meV/atom. Its polymorph energy (0 for the lowest one) is 0.167 eV/atom. The total DFT energy (no corrections) comes out at -39.63 eV per cell.

abc: 10.2602 10.2602 6.2541
angles: 90.00 90.00 90.00
Space group I4/mmm (No. 139)
Inequivalent atoms, fractional coordinates:
K: 0.0000 0.2817 0.0000 x8
Pb: 0.1566 0.1566 0.5000 x8


No. 8
VASP calculation (PBE-GGA) on a relaxed Pr2Nd3Dy6In crystal.

Calculated values
The calculation puts the calculated formation energy at -57 meV/atom. The total DFT energy (no corrections) comes out at -109.79 eV per cell.

abc: 6.1692 10.6896 11.8442
angles: 90.00 100.05 90.00
Space group C2/m (No. 12)
Inequivalent atoms, fractional coordinates:
Pr: 0.0000 0.1662 0.0000 x4
Nd: 0.0000 0.0000 0.5000 x2
Nd: 0.0000 0.3324 0.5000 x4
Dy: 0.2448 0.3368 0.2467 x8
Dy: 0.2446 0.5000 0.7523 x4
In: 0.0000 0.5000 0.0000 x2


no.,DOS(E_F) (states/eV/cell)
1,2.63
2,1.85
3,31.08
4,2.40
5,4.12
6,16.36
7,10.43
8,31.81